[1]
## MgMnHRh2 (GGA-PBE)

Data for a relaxed MgMnHRh2 crystal.

abc: 4.352 4.956 4.352
angles: 90.00 90.00 90.00
Element x y z (fractional)
H  0.500  0.500  0.500
Mg  0.000  0.500  0.000
Mn  0.000  0.000  0.000
Rh  0.000  0.000  0.500
Rh  0.500  0.000  0.000

Values from the calculation:
* energy above the lowest structure with this stoichiometry: 1461 meV per atom
* spin magnetization: 0.02 μB per formula unit
* density of states at the Fermi level: 4.871 states/eV per cell

---

[2]
## CsGe2I7 (GGA-PBE)

Data for a relaxed CsGe2I7 crystal.

abc: 4.911 8.978 11.597
angles: 112.77 90.00 90.00
Element x y z (fractional)
Cs  0.000  0.000  0.000
Ge  0.500  0.633  0.266
Ge  0.500  0.367  0.734
I  0.000  0.702  0.404
I  0.000  0.298  0.596
I  0.500  0.684  0.736
I  0.500  0.316  0.264
I  0.500  0.948  0.264
I  0.500  0.052  0.736
I  0.500  0.500  0.000

Values from the calculation:
* formation energy (no corrections): -0.393 eV/atom
* spin magnetization: 0.00 μB per formula unit
* density of states at the Fermi level: 5.317 states/eV per cell

---

[3]
## TbSmTeO6 (GGA-PBE)

Data for a relaxed TbSmTeO6 crystal.

abc: 5.605 5.605 9.672
angles: 90.00 90.00 120.00
Element x y z (fractional)
Tb  0.333  0.667  0.250
Tb  0.667  0.333  0.750
Sm  0.000  0.000  0.000
Sm  0.000  0.000  0.500
Te  0.667  0.333  0.250
Te  0.333  0.667  0.750
O  0.669  0.624  0.137
O  0.955  0.331  0.137
O  0.331  0.955  0.637
O  0.045  0.669  0.863
O  0.376  0.331  0.363
O  0.955  0.624  0.363
O  0.624  0.955  0.863
O  0.669  0.045  0.363
O  0.045  0.376  0.637
O  0.376  0.045  0.137
O  0.624  0.669  0.637
O  0.331  0.376  0.863

Values from the calculation:
* formation energy (no corrections): -2.432 eV/atom
* spin magnetization: 0.00 μB per formula unit
* density of states at the Fermi level: 0.000 states/eV per cell